Crystalline Be2Zn2Au3 at its relaxed geometry. Source: Alexandria via LeMat-Bulk, functional GGA-PBE.

The formation energy is -129 meV/atom. Its total magnetic moment is 0.000 μB/cell.

It has space group Cmmm (No. 65), with a = 3.757 Å, b = 18.706 Å, c = 2.851 Å, α = 90.00°, β = 90.00° and γ = 90.00°. The asymmetric unit holds Be at (0.000, 0.216, 0.000), Zn at (0.000, 0.080, 0.000), Au at (0.000, 0.328, 0.500) and Au at (0.000, 0.500, 0.500).


Crystalline BeZnAu2 at its relaxed geometry. Source: Alexandria via LeMat-Bulk, functional GGA-PBE.

The energy above the most stable polymorph in this dataset comes out at 58 meV per atom. The formation energy is -100 meV/atom. Its total magnetic moment is 0.000 μB/cell.

It has space group Imm2 (No. 44), with a = 3.346 Å, b = 4.054 Å, c = 8.807 Å, α = 90.00°, β = 90.00° and γ = 90.00°. The asymmetric unit holds Be at (0.000, 0.000, 0.000), Zn at (0.000, 0.500, 0.744), Au at (0.000, 0.000, 0.530) and Au at (0.000, 0.500, 0.302).


Question: Number 2 is which compound?
Answer: BeZnAu2